--- a ---
This record from the Alexandria database describes a relaxed NpScGa4 crystal. The functional is PBE.

Output
- Crystal system: orthorhombic
- Theoretical density: 8.25 Mg/m³
- Total moment: 4.05 Bohr magnetons per cell

Geometry as CIF:
```
data_NpScGa4
_symmetry_space_group_name_H-M 'P m m m'
_symmetry_Int_Tables_number 47
_cell_length_a 3.1802
_cell_length_b 4.4744
_cell_length_c 7.9301
_cell_angle_alpha 90.00
_cell_angle_beta 90.00
_cell_angle_gamma 90.00
loop_
_symmetry_equiv_pos_as_xyz
'x,y,z'
'-x,-y,-z'
'-x,-y,z'
'x,y,-z'
'x,-y,-z'
'-x,y,z'
'-x,y,-z'
'x,-y,z'
loop_
_atom_site_label
_atom_site_fract_x
_atom_site_fract_y
_atom_site_fract_z
_atom_site_occupancy
Np1 0.0000 0.0000 0.0000 1
Sc1 0.0000 0.5000 0.5000 1
Ga1 0.5000 0.0000 0.3410 1
Ga2 0.5000 0.5000 0.1763 1
```

=====

--- b ---
This record from the Alexandria database describes a relaxed NpScGa4 crystal. The functional is PBE.

Output
- Crystal system: cubic
- Theoretical density: 8.21 Mg/m³
- Total moment: 19.11 Bohr magnetons per cell

Geometry as CIF:
```
data_NpScGa4
_symmetry_space_group_name_H-M 'F -4 3 m'
_symmetry_Int_Tables_number 216
_symmetry_space_group_name_Hall 'F -4 2 3'
_cell_length_a 7.6834
_cell_length_b 7.6834
_cell_length_c 7.6834
_cell_angle_alpha 90.00
_cell_angle_beta 90.00
_cell_angle_gamma 90.00
loop_
_atom_site_label
_atom_site_fract_x
_atom_site_fract_y
_atom_site_fract_z
_atom_site_occupancy
Np1 0.0000 0.0000 0.0000 1
Sc1 0.2500 0.2500 0.7500 1
Ga1 0.1249 0.1249 0.3751 1
```

=====

Energy ordering: a at the bottom, the next structure 0.097 eV/atom above.

=====

--- a ---
This record from the Alexandria database describes a relaxed SmNp2Ga9 crystal. The functional is PBE.

Output
- Crystal system: tetragonal
- Theoretical density: 8.79 Mg/m³
- Total moment: 7.72 Bohr magnetons per cell

Geometry as CIF:
```
data_SmNp2Ga9
_symmetry_space_group_name_H-M 'P 4/m m m'
_symmetry_Int_Tables_number 123
_symmetry_space_group_name_Hall '-P 4 2'
_cell_length_a 4.2799
_cell_length_b 4.2799
_cell_length_c 12.9084
_cell_angle_alpha 90.00
_cell_angle_beta 90.00
_cell_angle_gamma 90.00
loop_
_atom_site_label
_atom_site_fract_x
_atom_site_fract_y
_atom_site_fract_z
_atom_site_occupancy
Sm1 0.0000 0.0000 0.0000 1
Np1 0.0000 0.0000 0.3342 1
Ga1 0.0000 0.5000 0.1712 1
Ga2 0.0000 0.5000 0.5000 1
Ga3 0.5000 0.5000 0.0000 1
Ga4 0.5000 0.5000 0.3351 1
```

=====

--- b ---
This record from the Alexandria database describes a relaxed SmNp2Ga9 crystal. The functional is PBE.

Output
- Crystal system: trigonal
- Theoretical density: 8.86 Mg/m³
- Total moment: 26.07 Bohr magnetons per cell

Geometry as CIF:
```
data_SmNp2Ga9
_symmetry_space_group_name_H-M 'R -3 m'
_symmetry_Int_Tables_number 166
_symmetry_space_group_name_Hall '-R 3 2"'
_cell_length_a 5.5271
_cell_length_b 5.5271
_cell_length_c 26.6025
_cell_angle_alpha 90.00
_cell_angle_beta 90.00
_cell_angle_gamma 120.00
loop_
_atom_site_label
_atom_site_fract_x
_atom_site_fract_y
_atom_site_fract_z
_atom_site_occupancy
Sm1 0.0000 0.0000 0.0000 1
Np1 0.0000 0.0000 0.1436 1
Ga1 0.0000 0.0000 0.3359 1
Ga2 0.0000 0.0000 0.5000 1
Ga3 0.0081 0.5041 0.9153 1
```

=====

Energy ordering: a at the bottom, the next structure 0.113 eV/atom above.